The following is a PBE-GGA calculation of crystalline BeP2PtS at its relaxed geometry, from Alexandria via LeMat-Bulk. Values from VASP.

Cell and atoms, written as Quantum ESPRESSO input:
```
&SYSTEM
  ibrav = 0, nat = 5, ntyp = 4
/
ATOMIC_SPECIES
P 30.97 P.upf
S 32.06 S.upf
Pt 195.08 Pt.upf
Be 9.01 Be.upf
ATOMIC_POSITIONS crystal
P 0.000 0.500 0.000
P 0.500 0.000 0.000
S 0.000 0.000 0.500
Pt 0.500 0.500 0.500
Be 0.000 0.000 0.000
CELL_PARAMETERS angstrom
4.147 0.000 0.000
0.000 4.147 0.000
0.000 0.000 4.317
```

relative energy among the computed polymorphs	0.000	eV/atom
formation energy (no corrections)	0.6666	eV per atom
ρ	6.7	g/cm3
space group	No. 123
raw total energy	-4.28	eV/atom